{
  "formula": "Sc2TcF",
  "functional": "PBE",
  "state": "relaxed",
  "cell": [[3.683, 7.262, -0.034], [5.731, 5.461, -1.906], [3.032, 6.824, -3.247]],
  "species": ["Sc", "Sc", "F", "Tc"],
  "fractional_positions": [[0.913, 0.913, 0.913], [0.087, 0.087, 0.087], [0.000, 0.000, 0.000], [0.500, 0.500, 0.500]],
  "magmom_total_mub_per_fu": 0.000,
  "rho_g_cm3": 4.58,
  "dos_ef_per_ev_atom": 0.914,
  "e_form_raw_mev_per_atom": -1204.2
}